Sm4Si3S12: optimized geometry, PBE-GGA.

Summary:
Raw total energy: -5.8606 eV per atom
Total moment: 0.0 μB/f.u.

POSCAR file:
```
Sm4Si3S12
1.0
9.5465 5.5117 2.6228
-9.5465 5.5117 2.6228
0.0000 -11.0233 2.6228
Sm Si S
8 6 24
direct
0.0000 0.0000 0.0000 Sm
0.2173 0.4410 0.9789 Sm
0.4410 0.9789 0.2173 Sm
0.4789 0.9410 0.7173 Sm
0.5000 0.5000 0.5000 Sm
0.7173 0.4789 0.9410 Sm
0.9410 0.7173 0.4789 Sm
0.9789 0.2173 0.4410 Sm
0.1462 0.9734 0.3584 Si
0.3584 0.1462 0.9734 Si
0.4734 0.6462 0.8584 Si
0.6462 0.8584 0.4734 Si
0.8584 0.4734 0.6462 Si
0.9734 0.3584 0.1462 Si
0.0883 0.6256 0.3553 S
0.0925 0.8049 0.1237 S
0.1237 0.0925 0.8049 S
0.1256 0.5883 0.8553 S
0.1872 0.1866 0.3742 S
0.1866 0.3742 0.1872 S
0.2871 0.8950 0.8195 S
0.3049 0.5925 0.6237 S
0.3195 0.3950 0.7871 S
0.3553 0.0883 0.6256 S
0.3742 0.1872 0.1866 S
0.3950 0.7871 0.3195 S
0.5883 0.8553 0.1256 S
0.5925 0.6237 0.3049 S
0.6237 0.3049 0.5925 S
0.6256 0.3553 0.0883 S
0.6866 0.6872 0.8742 S
0.6872 0.8742 0.6866 S
0.7871 0.3195 0.3950 S
0.8049 0.1237 0.0925 S
0.8195 0.2871 0.8950 S
0.8553 0.1256 0.5883 S
0.8742 0.6866 0.6872 S
0.8950 0.8195 0.2871 S
```


Sm6Si4S17: optimized geometry, PBE-GGA.

Summary:
Raw total energy: -5.9029 eV per atom
Total moment: 0.0 μB/f.u.

POSCAR file:
```
Sm6Si4S17
1.0
8.8994 0.0000 0.0000
0.1687 9.8570 0.0000
0.6389 1.9692 13.9883
Sm Si S
12 8 34
direct
0.0118 0.2662 0.4643 Sm
0.0875 0.5814 0.1653 Sm
0.1053 0.8841 0.8140 Sm
0.3351 0.9096 0.3420 Sm
0.3632 0.5606 0.6787 Sm
0.4498 0.2380 0.0019 Sm
0.5502 0.7620 0.9981 Sm
0.6368 0.4394 0.3213 Sm
0.6649 0.0904 0.6580 Sm
0.8947 0.1159 0.1860 Sm
0.9125 0.4186 0.8347 Sm
0.9882 0.7338 0.5357 Sm
0.2318 0.9394 0.0993 Si
0.2483 0.5594 0.9225 Si
0.2507 0.0006 0.5834 Si
0.2797 0.5560 0.3926 Si
0.7203 0.4440 0.6074 Si
0.7493 0.9994 0.4166 Si
0.7517 0.4406 0.0775 Si
0.7682 0.0606 0.9007 Si
0.0077 0.8743 0.1163 S
0.0136 0.9911 0.6223 S
0.0372 0.6514 0.9523 S
0.0616 0.6413 0.7203 S
0.1088 0.7030 0.3429 S
0.1837 0.4782 0.5314 S
0.2512 0.1165 0.1695 S
0.2553 0.3805 0.8510 S
0.3015 0.8046 0.5412 S
0.3034 0.1351 0.4576 S
0.3141 0.4125 0.2968 S
0.3218 0.9832 0.9553 S
0.3418 0.4995 0.0578 S
0.3554 0.0337 0.7084 S
0.3700 0.7791 0.1667 S
0.3802 0.7147 0.8371 S
0.4887 0.6542 0.3971 S
0.5113 0.3458 0.6029 S
0.6198 0.2853 0.1629 S
0.6300 0.2209 0.8333 S
0.6446 0.9663 0.2916 S
0.6582 0.5005 0.9422 S
0.6782 0.0168 0.0447 S
0.6859 0.5875 0.7032 S
0.6966 0.8649 0.5424 S
0.6985 0.1954 0.4588 S
0.7447 0.6195 0.1490 S
0.7488 0.8835 0.8305 S
0.8163 0.5218 0.4686 S
0.8912 0.2970 0.6571 S
0.9384 0.3587 0.2797 S
0.9628 0.3486 0.0477 S
0.9864 0.0089 0.3777 S
0.9923 0.1257 0.8837 S
```


Q: Number 1 is which compound?
A: Sm4Si3S12


Q: Number 1 is which compound?
A: Sm4Si3S12